Density functional theory data (PBEsol) for a geometry-optimized CsH3O2 structure.

Structure (POSCAR):
```
CsH3O2
1.0
-0.868 -4.129 -0.817
1.556 -1.089 3.855
-6.889 3.417 1.352
H O Cs
6 4 2
Direct
0.625 0.375 0.250
0.750 0.250 0.500
0.125 0.375 0.750
0.500 0.500 0.000
0.625 0.875 0.250
0.625 0.375 0.750
0.835 0.335 0.669
0.585 0.585 0.169
0.665 0.165 0.331
0.415 0.415 0.831
0.000 0.000 0.000
0.250 0.750 0.500
```

## Properties
For the density of states at the Fermi level, the calculation gives 0.000 states/eV/cell. For the total energy, the calculation gives -57.4 eV per cell.

***

Density functional theory data (PBEsol) for a geometry-optimized CsH5O3 structure.

Structure (POSCAR):
```
CsH5O3
1.0
6.660 0.000 0.000
0.000 8.928 0.000
0.000 0.000 12.929
Cs H O
8 40 24
Direct
0.077 0.624 0.422
0.077 0.124 0.078
0.389 0.005 0.343
0.923 0.624 0.922
0.611 0.505 0.657
0.923 0.124 0.578
0.611 0.005 0.843
0.389 0.505 0.157
0.222 0.305 0.382
0.594 0.524 0.391
0.778 0.305 0.882
0.146 0.072 0.822
0.471 0.335 0.956
0.715 0.307 0.370
0.600 0.196 0.072
0.960 0.778 0.703
0.406 0.024 0.609
0.406 0.524 0.891
0.142 0.890 0.800
0.296 0.695 0.777
0.854 0.072 0.322
0.778 0.805 0.618
0.400 0.196 0.572
0.471 0.835 0.544
0.246 0.870 0.959
0.704 0.195 0.223
0.704 0.695 0.277
0.529 0.835 0.044
0.040 0.778 0.203
0.400 0.696 0.928
0.285 0.807 0.630
0.529 0.335 0.456
0.858 0.890 0.300
0.858 0.390 0.200
0.222 0.805 0.118
0.146 0.572 0.678
0.754 0.870 0.459
0.754 0.370 0.041
0.246 0.370 0.541
0.854 0.572 0.178
0.296 0.195 0.723
0.600 0.696 0.428
0.040 0.278 0.297
0.142 0.390 0.700
0.594 0.024 0.109
0.960 0.278 0.797
0.715 0.807 0.130
0.285 0.307 0.870
0.543 0.127 0.130
0.673 0.365 0.437
0.195 0.730 0.724
0.881 0.968 0.356
0.309 0.298 0.493
0.309 0.798 0.007
0.805 0.230 0.276
0.805 0.730 0.224
0.183 0.811 0.195
0.119 0.468 0.644
0.881 0.468 0.144
0.691 0.298 0.993
0.691 0.798 0.507
0.119 0.968 0.856
0.457 0.627 0.870
0.543 0.627 0.370
0.195 0.230 0.776
0.673 0.865 0.063
0.183 0.311 0.305
0.327 0.865 0.563
0.327 0.365 0.937
0.457 0.127 0.630
0.817 0.811 0.695
0.817 0.311 0.805
```

## Properties
For the density of states at the Fermi level, the calculation gives 0.000 states/eV/cell. For the total energy, the calculation gives -353.0 eV per cell.

***

Density functional theory data (PBEsol) for a geometry-optimized CsHO structure.

Structure (POSCAR):
```
CsHO
1.0
-0.116 -1.449 -4.134
2.931 -3.109 1.007
-10.325 -8.657 3.324
Cs H O
4 4 4
Direct
0.751 0.489 0.843
0.749 0.511 0.343
0.249 0.989 0.657
0.251 0.011 0.157
0.247 0.014 0.430
0.253 0.986 0.930
0.747 0.486 0.570
0.753 0.514 0.070
0.752 0.510 0.141
0.248 0.010 0.359
0.252 0.990 0.859
0.748 0.490 0.641
```

## Properties
For the density of states at the Fermi level, the calculation gives 0.000 states/eV/cell. For the total energy, the calculation gives -53.3 eV per cell.

***

Density functional theory data (PBEsol) for a geometry-optimized CsZn2P2HO8 structure.

Structure (POSCAR):
```
CsZn2P2HO8
1.0
6.555 0.000 0.000
0.000 7.795 0.000
-3.278 0.000 7.991
P Cs O Zn H
4 2 16 4 2
Direct
0.358 0.958 0.715
0.142 0.458 0.285
0.858 0.542 0.715
0.642 0.042 0.285
0.000 0.000 0.000
0.500 0.500 0.000
0.646 0.440 0.685
0.948 0.613 0.896
0.052 0.387 0.104
0.146 0.060 0.685
0.797 0.703 0.594
0.703 0.203 0.406
0.461 0.940 0.315
0.203 0.297 0.406
0.539 0.060 0.685
0.448 0.887 0.896
0.961 0.560 0.315
0.039 0.440 0.685
0.354 0.560 0.315
0.854 0.940 0.315
0.552 0.113 0.104
0.297 0.797 0.594
0.518 0.250 0.536
0.982 0.750 0.464
0.018 0.250 0.536
0.482 0.750 0.464
0.500 0.000 0.000
0.000 0.500 0.000
```

## Properties
For the density of states at the Fermi level, the calculation gives 0.000 states/eV/cell. For the total energy, the calculation gives -177.7 eV per cell.

***

Density functional theory data (PBEsol) for a geometry-optimized CsHPt2S4O16 structure.

Structure (POSCAR):
```
CsHPt2S4O16
1.0
-5.518 4.638 -5.380
2.667 -5.284 -7.289
-13.330 -9.490 5.492
O S Pt H Cs
64 16 8 4 4
Direct
0.210 0.912 0.924
0.703 0.492 0.913
0.142 0.262 0.698
0.237 0.738 0.164
0.334 0.832 0.494
0.305 0.565 0.593
0.079 0.138 0.904
0.453 0.298 0.563
0.567 0.269 0.932
0.067 0.231 0.068
0.433 0.731 0.068
0.046 0.805 0.401
0.673 0.813 0.976
0.834 0.668 0.506
0.327 0.187 0.024
0.799 0.921 0.570
0.701 0.421 0.570
0.695 0.435 0.407
0.173 0.687 0.024
0.454 0.305 0.401
0.505 0.465 0.307
0.804 0.437 0.167
0.924 0.079 0.196
0.642 0.238 0.302
0.827 0.313 0.976
0.076 0.921 0.804
0.576 0.579 0.196
0.579 0.362 0.096
0.547 0.702 0.437
0.166 0.332 0.494
0.203 0.008 0.087
0.933 0.769 0.932
0.147 0.262 0.351
0.763 0.262 0.836
0.263 0.238 0.164
0.995 0.965 0.307
0.290 0.412 0.924
0.710 0.588 0.076
0.005 0.035 0.693
0.546 0.695 0.599
0.805 0.935 0.407
0.666 0.168 0.506
0.353 0.762 0.351
0.853 0.738 0.649
0.797 0.992 0.913
0.858 0.738 0.302
0.737 0.762 0.836
0.358 0.762 0.698
0.299 0.579 0.430
0.954 0.195 0.599
0.495 0.535 0.693
0.195 0.065 0.593
0.424 0.421 0.804
0.953 0.202 0.437
0.647 0.238 0.649
0.047 0.798 0.563
0.921 0.862 0.096
0.201 0.079 0.430
0.421 0.638 0.904
0.304 0.063 0.833
0.790 0.088 0.076
0.196 0.563 0.833
0.297 0.508 0.087
0.696 0.937 0.167
0.281 0.670 0.087
0.881 0.778 0.574
0.577 0.360 0.351
0.328 0.510 0.865
0.719 0.330 0.913
0.119 0.222 0.426
0.828 0.990 0.135
0.923 0.860 0.351
0.672 0.490 0.135
0.381 0.722 0.426
0.423 0.640 0.649
0.781 0.830 0.913
0.219 0.170 0.087
0.619 0.278 0.574
0.172 0.010 0.865
0.077 0.140 0.649
0.566 0.612 0.990
0.878 0.063 0.504
0.622 0.563 0.504
0.066 0.888 0.010
0.378 0.437 0.496
0.122 0.937 0.496
0.934 0.112 0.990
0.434 0.388 0.010
0.053 0.975 0.752
0.553 0.525 0.248
0.947 0.025 0.248
0.447 0.475 0.752
0.102 0.505 0.262
0.898 0.495 0.738
0.398 0.005 0.262
0.602 0.995 0.738
```

## Properties
For the total energy, the calculation gives -595.2 eV per cell.

***

Density functional theory data (PBEsol) for a geometry-optimized CsHSO3 structure.

Structure (POSCAR):
```
CsHSO3
1.0
-2.781 -3.676 0.517
2.729 -2.179 3.052
-2.173 1.629 3.760
O H S Cs
3 1 1 1
Direct
0.525 0.525 0.133
0.525 0.133 0.525
0.133 0.525 0.525
0.596 0.596 0.596
0.441 0.441 0.441
0.991 0.991 0.991
```

## Properties
For the density of states at the Fermi level, the calculation gives 0.000 states/eV/cell. For the total energy, the calculation gives -33.1 eV per cell.

***

Density functional theory data (PBEsol) for a geometry-optimized CsHSO4 structure.

Structure (POSCAR):
```
CsHSO4
1.0
7.591 0.039 0.000
-2.159 7.328 0.000
0.000 0.000 8.129
S H O Cs
4 4 16 4
Direct
0.747 0.779 0.363
0.253 0.221 0.637
0.747 0.279 0.137
0.253 0.721 0.863
0.637 0.016 0.335
0.363 0.484 0.835
0.363 0.984 0.665
0.637 0.516 0.165
0.104 0.634 0.751
0.194 0.300 0.491
0.343 0.074 0.571
0.657 0.426 0.071
0.596 0.144 0.226
0.596 0.644 0.274
0.806 0.200 0.991
0.896 0.866 0.251
0.806 0.700 0.509
0.404 0.356 0.726
0.404 0.856 0.774
0.343 0.574 0.929
0.194 0.800 0.009
0.104 0.134 0.749
0.896 0.366 0.249
0.657 0.926 0.429
0.790 0.310 0.626
0.210 0.690 0.374
0.210 0.190 0.126
0.790 0.810 0.874
```

## Properties
For the density of states at the Fermi level, the calculation gives 0.000 states/eV/cell. For the total energy, the calculation gives -163.5 eV per cell.

***

Density functional theory data (PBEsol) for a geometry-optimized CsHSO4 structure.

Structure (POSCAR):
```
CsHSO4
1.0
5.493 0.000 -0.058
0.000 5.788 0.000
-1.336 0.000 7.077
O S Cs H
8 2 2 2
Direct
0.368 0.039 0.112
0.288 0.750 0.695
0.296 0.250 0.385
0.712 0.250 0.305
0.632 0.961 0.888
0.632 0.539 0.888
0.368 0.461 0.112
0.704 0.750 0.615
0.556 0.750 0.761
0.444 0.250 0.239
0.014 0.250 0.714
0.986 0.750 0.286
0.500 0.000 0.000
0.500 0.500 0.000
```

## Properties
For the density of states at the Fermi level, the calculation gives 0.000 states/eV/cell. For the total energy, the calculation gives -81.8 eV per cell.

***

Copy entry 1 word for word.
Density functional theory data (PBEsol) for a geometry-optimized CsH3O2 structure.

Structure (POSCAR):
```
CsH3O2
1.0
-0.868 -4.129 -0.817
1.556 -1.089 3.855
-6.889 3.417 1.352
H O Cs
6 4 2
Direct
0.625 0.375 0.250
0.750 0.250 0.500
0.125 0.375 0.750
0.500 0.500 0.000
0.625 0.875 0.250
0.625 0.375 0.750
0.835 0.335 0.669
0.585 0.585 0.169
0.665 0.165 0.331
0.415 0.415 0.831
0.000 0.000 0.000
0.250 0.750 0.500
```

## Properties
For the density of states at the Fermi level, the calculation gives 0.000 states/eV/cell. For the total energy, the calculation gives -57.4 eV per cell.

***

Q: Number 4 is which compound?
A: CsZn2P2HO8